Compound: Si2SbIr
Source: Alexandria via LeMat-Bulk
Functional: PBE
Structure: optimized geometry

Cell: 6.4105 6.4105 6.4105 Å, 148.94 146.93 46.00°
Element x y z (fractional)
Si  0.0000  0.0000  0.0000
Si  0.6514  0.1514  0.5000
Sb  0.3492  0.3492  0.0000
Ir  0.1552  0.6552  0.5000

Calculated values
space group = Imm2 (44)
total DFT energy (no corrections) = -23.56 eV per formula unit